Record 1
First-principles (PBE-GGA) data for ZnSiIO2 after structural relaxation, as listed in the Alexandria database.

a b c (Å): 3.6471 3.6471 6.0212
angles (deg): 90.00 90.00 90.00
With the nearest neighbours (Å) after each atom.
Space group P4/mmm (No. 123)
Inequivalent atoms, fractional coordinates:
Zn: 0.0000 0.0000 0.0000 [1 per cell]  4 I 2.58
Si: 0.5000 0.5000 0.5000 [1 per cell]  4 O 1.82
I: 0.5000 0.5000 0.0000 [1 per cell]  4 Zn 2.58
O: 0.0000 0.5000 0.5000 [2 per cell]  2 Si 1.82

- distance to the lowest polymorph of the same formula (eV/f.u.) = 0.000
- energy relative to the elements, uncorrected (eV per atom) = -0.688
- DOS at the Fermi energy (states/eV/f.u.) = 0.9

Record 2
First-principles (PBE-GGA) data for ZnSiIO2 after structural relaxation, as listed in the Alexandria database.

a b c (Å): 3.9804 3.9804 5.5789
angles (deg): 90.00 90.00 90.00
With the nearest neighbours (Å) after each atom.
Space group P4/mmm (No. 123)
Inequivalent atoms, fractional coordinates:
Zn: 0.0000 0.0000 0.0000 [1 per cell]  4 O 1.99
Si: 0.5000 0.5000 0.5000 [1 per cell]  4 I 2.81
I: 0.0000 0.0000 0.5000 [1 per cell]  2 Zn 2.79, 4 Si 2.81
O: 0.0000 0.5000 0.0000 [2 per cell]  2 Zn 1.99

- distance to the lowest polymorph of the same formula (eV/f.u.) = 4.700
- energy relative to the elements, uncorrected (eV per atom) = 0.251
- DOS at the Fermi energy (states/eV/f.u.) = 3.5

Record 3
First-principles (PBE-GGA) data for ZrSiI2O after structural relaxation, as listed in the Alexandria database.

a b c (Å): 5.7017 5.7017 3.5139
angles (deg): 90.00 90.00 90.00
With the nearest neighbours (Å) after each atom.
Space group P4/mmm (No. 123)
Inequivalent atoms, fractional coordinates:
Zr: 0.0000 0.0000 0.0000 [1 per cell]  8 I 3.35, 2 Zr 3.51
Si: 0.5000 0.5000 0.5000 [1 per cell]  2 O 1.76
I: 0.0000 0.5000 0.5000 [2 per cell]  2 Si 2.85
O: 0.5000 0.5000 0.0000 [1 per cell]  2 Si 1.76

- distance to the lowest polymorph of the same formula (eV/f.u.) = 1.648
- energy relative to the elements, uncorrected (eV per atom) = -0.223
- DOS at the Fermi energy (states/eV/f.u.) = 2.7